PmTmPd4 after structural relaxation. Source: the Alexandria database, functional PBE-GGA.

Output
The calculation puts the theoretical density at 10.5 g/cm³. Its distance to the lowest polymorph of the same formula is 0.048 eV per atom. As for the symmetry: C2/m, No. 12. Its electronic total energy is -5.7501 eV per atom.

Cell lengths 3.661, 5.197, 7.236 Å; angles 102.43, 75.35, 69.38 degrees
Fractional coordinates of all 6 atoms:
Pm  0.000  0.000  0.000
Tm  0.500  0.500  0.500
Pd  0.849  0.483  0.820
Pd  0.321  0.013  0.345
Pd  0.151  0.517  0.180
Pd  0.679  0.987  0.655

***

Tb4GaCl5 after structural relaxation. Source: the Alexandria database, functional PBE-GGA.

Output
The calculation puts the theoretical density at 5.2 g/cm³. The uncorrected formation energy comes out at -1.614 eV/atom. As for the symmetry: C2/m, No. 12. Its electronic total energy is -4.6916 eV per atom.

Cell lengths 3.980, 8.159, 9.099 Å; angles 102.53, 102.64, 90.00 degrees
Fractional coordinates of all 10 atoms:
Tb  0.344  0.914  0.687
Tb  0.000  0.763  0.999
Tb  0.656  0.086  0.313
Tb  0.000  0.237  0.001
Ga  0.500  0.000  0.000
Cl  0.834  0.676  0.667
Cl  0.827  0.148  0.653
Cl  0.173  0.852  0.347
Cl  0.500  0.500  0.000
Cl  0.166  0.324  0.333

***

BeSbBr2 after structural relaxation. Source: the Alexandria database, functional PBE-GGA.

Output
The calculation puts the theoretical density at 4.3 g/cm³. The uncorrected formation energy comes out at -0.055 eV/atom. Its distance to the lowest polymorph of the same formula is 0.266 eV per atom. As for the symmetry: Cmm2, No. 35. Its electronic total energy is -2.8540 eV per atom.

Cell lengths 3.883, 3.883, 9.139 Å; angles 90.00, 90.00, 125.53 degrees
Fractional coordinates of all 4 atoms:
Sb  0.000  0.000  0.543
Br  0.000  0.000  0.904
Br  0.500  0.500  0.301
Be  0.500  0.500  0.753

***

Co2MoRh after structural relaxation. Source: the Alexandria database, functional PBE-GGA.

Output
The calculation puts the theoretical density at 10.2 g/cm³. Its distance to the lowest polymorph of the same formula is 0.193 eV per atom. As for the symmetry: P4/mmm, No. 123. Its electronic total energy is -7.9446 eV per atom.

Cell lengths 3.084, 3.084, 5.419 Å; angles 90.00, 90.00, 90.00 degrees
Fractional coordinates of all 4 atoms:
Co  0.000  0.000  0.017
Co  0.000  0.000  0.483
Mo  0.500  0.500  0.250
Rh  0.500  0.500  0.750